(1)
# SrPmCdAu

A relaxed SrPmCdAu crystal (GGA-PBE, the Alexandria database).

Space-group type: F-43m, No. 216
Volume (Å³ per atom): 28.14
Energy of formation from the pure elements (meV/atom): -475
DOS(E_F) (states/eV/cell): 3.22

Cell: 5.419 5.419 5.419 Å, 60.00 60.00 60.00°
Fractional positions:
Sr1 0.000 0.000 0.000
Pm1 0.500 0.500 0.500
Cd1 0.750 0.750 0.750
Au1 0.250 0.250 0.250



(2)
# Sr2PmCd12Au3

A relaxed Sr2PmCd12Au3 crystal (GGA-PBE, the Alexandria database).

Space-group type: R-3m, No. 166
Volume (Å³ per atom): 27.44
Energy of formation from the pure elements (meV/atom): -98
DOS(E_F) (states/eV/cell): 11.48

Cell: 10.991 10.991 10.991 Å, 39.98 39.98 39.98°
Fractional positions:
Sr1 0.142 0.142 0.142
Sr2 0.858 0.858 0.858
Pm1 0.500 0.500 0.500
Cd1 0.038 0.626 0.626
Cd2 0.182 0.182 0.777
Cd3 0.182 0.777 0.182
Cd4 0.223 0.818 0.818
Cd5 0.374 0.374 0.962
Cd6 0.374 0.962 0.374
Cd7 0.626 0.038 0.626
Cd8 0.626 0.626 0.038
Cd9 0.777 0.182 0.182
Cd10 0.818 0.223 0.818
Cd11 0.818 0.818 0.223
Cd12 0.962 0.374 0.374
Au1 0.000 0.500 0.500
Au2 0.500 0.000 0.500
Au3 0.500 0.500 0.000



(3)
# Tb2PmCdAu4

A relaxed Tb2PmCdAu4 crystal (GGA-PBE, the Alexandria database).

Space-group type: R-3m, No. 166
Volume (Å³ per atom): 23.11
Energy of formation from the pure elements (meV/atom): -742
DOS(E_F) (states/eV/cell): 5.30

Cell: 8.824 8.824 8.824 Å, 33.35 33.35 33.35°
Fractional positions:
Tb1 0.242 0.242 0.242
Tb2 0.758 0.758 0.758
Pm1 0.000 0.000 0.000
Cd1 0.500 0.500 0.500
Au1 0.121 0.121 0.121
Au2 0.371 0.371 0.371
Au3 0.629 0.629 0.629
Au4 0.879 0.879 0.879



(4)
# Pm4Tl2CdAu

A relaxed Pm4Tl2CdAu crystal (GGA-PBE, the Alexandria database).

Space-group type: R-3m, No. 166
Volume (Å³ per atom): 28.02
Energy of formation from the pure elements (meV/atom): -458
DOS(E_F) (states/eV/cell): 8.92

Cell: 9.352 9.352 9.352 Å, 33.68 33.68 33.68°
Fractional positions:
Pm1 0.119 0.119 0.119
Pm2 0.370 0.370 0.370
Pm3 0.630 0.630 0.630
Pm4 0.881 0.881 0.881
Tl1 0.244 0.244 0.244
Tl2 0.756 0.756 0.756
Cd1 0.500 0.500 0.500
Au1 0.000 0.000 0.000